Record 1
Below is a geometry-optimized Nd6Si2I3N structure, with properties calculated at the GGA-PBE level.

The density of states at the Fermi level is 4.8 states/eV/f.u. The magnetization comes out at 0.0 Bohr magnetons per cell. The calculation puts the total energy at -129.1 eV per cell. As for the raw formation energy: -1.010 eV/atom.

The space group is C2/m (No. 12) and the conventional cell measures 7.173, 12.407 and 8.161 Å, with angles of 90.00, 106.98 and 90.00 degrees. The inequivalent atoms are Nd at (0.214, 0.153, 0.183), Nd at (0.243, 0.000, 0.814), Si at (0.000, 0.334, 0.000), I at (0.000, 0.173, 0.500), I at (0.000, 0.500, 0.500) and N at (0.000, 0.000, 0.000).

=====

Record 2
Below is a geometry-optimized PmZrPt4 structure, with properties calculated at the GGA-PBE level.

The density of states at the Fermi level is 4.6 states/eV/f.u. The magnetization comes out at 0.0 Bohr magnetons per cell. As for the formation energy from the elements: -0.88 eV per atom. The calculation puts the total energy at -171.1 eV per cell.

The space group is F-43m (No. 216) and the conventional cell measures 7.661, 7.661 and 7.661 Å, with angles of 90.00, 90.00 and 90.00 degrees. The inequivalent atoms are Pm at (0.000, 0.000, 0.000), Zr at (0.250, 0.250, 0.750) and Pt at (0.125, 0.125, 0.375).